Compound: WO
Source: the Alexandria database
Functional: GGA+U
Structure: optimized geometry

abc: 6.0143 6.0283 6.6576
angles: 90.00 90.00 90.00
Fractional coordinates of all 16 atoms:
O1 0.9167 0.2599 0.3321
O2 0.2704 0.3120 0.1075
O3 0.7704 0.1880 0.8925
O4 0.5833 0.7401 0.8321
O5 0.0833 0.7599 0.1679
O6 0.4167 0.2401 0.6679
O7 0.7296 0.8120 0.3925
O8 0.2296 0.6880 0.6075
W1 0.3804 0.8158 0.3420
W2 0.7514 0.7590 0.0864
W3 0.2486 0.2590 0.4136
W4 0.6196 0.3158 0.1580
W5 0.7486 0.2410 0.5864
W6 0.8804 0.6842 0.6580
W7 0.1196 0.1842 0.8420
W8 0.2514 0.7410 0.9136

Polymorph energy (0 for the lowest one), eV per atom: 0.150
D(E_F), states/eV/f.u.: 0.03
Final energy, eV per atom: -6.698
Total magnetic moment, μB per formula unit: 1.00
Crystal system: orthorhombic